MnCo6Mo | Alexandria | PBE | relaxed; formation energy = 0.15 eV/f.u.; distance to the lowest polymorph of the same formula = 0.0 meV per atom
1.0
-0.725 -2.610 -3.002
4.321 -0.358 -0.732
0.238 -3.844 3.284
Co Mn Mo
6 1 1
Cartesian
3.441 -4.457 0.321 Co
3.326 -2.598 -1.267 Co
0.899 -2.914 2.316 Co
3.000 -2.161 1.154 Co
0.993 -1.417 -1.731 Co
0.784 -1.050 0.723 Co
1.230 -3.349 -0.108 Mn
2.874 -0.238 -0.487 Mo

BeHgCl3 | Alexandria | PBE | relaxed; distance to the lowest polymorph of the same formula = 0.0 meV per atom
1.0
-2.149 -1.342 3.853
-3.788 -0.962 -2.448
1.516 -4.305 -0.654
Cl Hg Be
3 1 1
Cartesian
-1.074 -0.671 1.926 Cl
-1.894 -0.481 -1.224 Cl
0.758 -2.153 -0.327 Cl
-2.210 -3.305 0.375 Hg
0.000 0.000 0.000 Be

> Number 2 is which compound?

BeHgCl3